1.
Material: Mo2AsRhCl
Method: DFT, PBEsol
State: relaxed

Cell: 4.8012 4.8012 4.3723 Å, 90.00 90.00 90.00°
With the nearest neighbours (Å) after each atom.
Element x y z (fractional)
Mo (0.0000, 0.5000, 0.0000)  2 Rh 2.40
Mo (0.5000, 0.0000, 0.0000)  2 Rh 2.40
As (0.0000, 0.0000, 0.5000)  8 Mo 3.25, 4 Cl 3.39
Rh (0.5000, 0.5000, 0.0000)  2 Cl 2.19, 4 Mo 2.40
Cl (0.5000, 0.5000, 0.5000)  2 Rh 2.19

Computed properties:
Size of the total moment = 3.73 μB per formula unit
Raw total energy = -6.304 eV per atom
Space-group type = P4/mmm, No. 123



2.
Material: LiHfTeN2
Method: DFT, PBEsol
State: relaxed

Cell: 4.1245 4.1245 5.8044 Å, 90.00 90.00 90.00°
With the nearest neighbours (Å) after each atom.
Element x y z (fractional)
Li (0.0000, 0.0000, 0.0000)  4 Te 2.92
Hf (0.5000, 0.5000, 0.5000)  4 N 2.06
Te (0.5000, 0.5000, 0.0000)  2 Hf 2.90, 4 Li 2.92
N (0.0000, 0.5000, 0.5000)  2 Hf 2.06
N (0.5000, 0.0000, 0.5000)  2 Hf 2.06

Computed properties:
Size of the total moment = 1.93 μB per formula unit
Raw total energy = -6.569 eV per atom
Space-group type = P4/mmm, No. 123



3.
Material: ZnPt5
Method: DFT, PBEsol
State: relaxed

Cell: 2.7622 2.7622 11.5123 Å, 90.00 90.00 90.00°
With the nearest neighbours (Å) after each atom.
Element x y z (fractional)
Zn (0.0000, 0.0000, 0.0000)  8 Pt 2.65, 4 Zn 2.76
Pt (0.0000, 0.0000, 0.3302)  12 Pt 2.76-2.80
Pt (0.0000, 0.0000, 0.6698)  12 Pt 2.76-2.80
Pt (0.5000, 0.5000, 0.1560)  4 Zn 2.65, 8 Pt 2.76-2.80
Pt (0.5000, 0.5000, 0.5000)  12 Pt 2.76
Pt (0.5000, 0.5000, 0.8440)  4 Zn 2.65, 8 Pt 2.76-2.80

Computed properties:
Size of the total moment = 0.01 μB per formula unit
Raw total energy = -6.244 eV per atom
Space-group type = P4/mmm, No. 123



4.
Material: ReAsRu
Method: DFT, PBEsol
State: relaxed

Cell: 4.5397 4.5397 4.5397 Å, 143.41 128.71 64.64°
With the nearest neighbours (Å) after each atom.
Element x y z (fractional)
Re (0.0000, 0.0000, 0.0000)  5 As 2.49-2.77, 5 Ru 2.68-2.69
As (0.3251, 0.3251, 0.0000)  5 Ru 2.49-2.78, 5 Re 2.49-2.77
Ru (0.6496, 0.6496, 0.0000)  5 As 2.49-2.78, 5 Re 2.68-2.69

Computed properties:
Size of the total moment = 0.00 μB per formula unit
Raw total energy = -9.259 eV per atom
Space-group type = Imm2, No. 44



5.
Material: MgMnRu2
Method: DFT, PBEsol
State: relaxed

Cell: 4.7575 4.7575 4.7575 Å, 134.02 134.02 67.06°
With the nearest neighbours (Å) after each atom.
Element x y z (fractional)
Mg (0.0000, 0.0000, 0.0000)  8 Ru 2.63-2.72, 4 Mn 2.72
Mn (0.7500, 0.2500, 0.5000)  8 Ru 2.63-2.72, 4 Mg 2.72
Ru (0.2500, 0.7500, 0.5000)  4 Mn 2.63, 4 Mg 2.72, 4 Ru 2.72
Ru (0.5000, 0.5000, 0.0000)  4 Mg 2.63, 4 Mn 2.72, 4 Ru 2.72

Computed properties:
Size of the total moment = 2.17 μB per formula unit
Raw total energy = -7.679 eV per atom
Space-group type = I-4m2, No. 119



6.
Material: KAu
Method: DFT, PBEsol
State: relaxed

Cell: 5.3586 5.3586 5.3586 Å, 124.32 124.32 82.67°
With the nearest neighbours (Å) after each atom.
Element x y z (fractional)
K (0.3750, 0.6250, 0.7500)  8 Au 3.21-3.54, 4 K 3.21
K (0.6250, 0.3750, 0.2500)  4 K 3.21, 8 Au 3.21-3.54
Au (0.1250, 0.8750, 0.2500)  8 K 3.21-3.54, 4 Au 3.21
Au (0.8750, 0.1250, 0.7500)  4 Au 3.21, 8 K 3.21-3.54

Computed properties:
Size of the total moment = 0.00 μB per formula unit
Raw total energy = -2.625 eV per atom
Space-group type = I4_1/amd, No. 141



7.
Material: TiI4
Method: DFT, PBEsol
State: relaxed

Cell: 7.7136 7.7136 6.8076 Å, 90.78 90.78 63.21°
With the nearest neighbours (Å) after each atom.
Element x y z (fractional)
Ti (0.1590, 0.8410, 0.7500)  4 I 2.57-2.74
Ti (0.8410, 0.1590, 0.2500)  4 I 2.57-2.74
I (0.0048, 0.2269, 0.9246)  2 Ti 2.74-2.90
I (0.2269, 0.0048, 0.4246)  2 Ti 2.74-2.90
I (0.2397, 0.5050, 0.6014)  1 Ti 2.57
I (0.4950, 0.7603, 0.8986)  1 Ti 2.57
I (0.5050, 0.2397, 0.1014)  1 Ti 2.57
I (0.7603, 0.4950, 0.3986)  1 Ti 2.57
I (0.7731, 0.9952, 0.5754)  2 Ti 2.74-2.90
I (0.9952, 0.7731, 0.0754)  2 Ti 2.74-2.90

Computed properties:
Size of the total moment = 0.00 μB per formula unit
Raw total energy = -3.779 eV per atom
Space-group type = C2/c, No. 15



8.
Material: NaCaRe3
Method: DFT, PBEsol
State: relaxed

Cell: 4.6513 4.6513 4.6513 Å, 90.00 90.00 90.00°
With the nearest neighbours (Å) after each atom.
Element x y z (fractional)
Na (0.0000, 0.0000, 0.0000)  12 Re 3.29
Ca (0.5000, 0.5000, 0.5000)  6 Re 2.33
Re (0.0000, 0.5000, 0.5000)  2 Ca 2.33
Re (0.5000, 0.0000, 0.5000)  2 Ca 2.33
Re (0.5000, 0.5000, 0.0000)  2 Ca 2.33

Computed properties:
Size of the total moment = 0.71 μB per formula unit
Raw total energy = -5.392 eV per atom
Space-group type = Pm-3m, No. 221



9.
Material: TbSi2Ni
Method: DFT, PBEsol
State: relaxed

Cell: 8.3319 8.3319 3.9511 Å, 90.00 90.00 152.42°
With the nearest neighbours (Å) after each atom.
Element x y z (fractional)
Tb (0.1057, 0.8943, 0.7500)  10 Si 2.99-3.09, 4 Ni 3.04
Tb (0.8943, 0.1057, 0.2500)  10 Si 2.99-3.09, 4 Ni 3.04
Si (0.2498, 0.7502, 0.2500)  4 Ni 2.29-2.30
Si (0.4596, 0.5404, 0.7500)  1 Ni 2.24, 2 Si 2.37
Si (0.5404, 0.4596, 0.2500)  1 Ni 2.24, 2 Si 2.37
Si (0.7502, 0.2498, 0.7500)  4 Ni 2.29-2.30
Ni (0.3214, 0.6786, 0.7500)  5 Si 2.24-2.30
Ni (0.6786, 0.3214, 0.2500)  5 Si 2.24-2.30

Computed properties:
Size of the total moment = 0.00 μB per formula unit
Raw total energy = -6.592 eV per atom
Space-group type = Cmcm, No. 63



10.
Material: Fe2TcSb
Method: DFT, PBEsol
State: relaxed

Cell: 8.0813 8.0813 8.0813 Å, 20.91 20.91 20.91°
With the nearest neighbours (Å) after each atom.
Element x y z (fractional)
Fe (0.0000, 0.0000, 0.0000)  3 Fe 2.43, 3 Tc 2.52
Fe (0.2600, 0.2600, 0.2600)  3 Fe 2.43, 3 Sb 2.68
Tc (0.7454, 0.7454, 0.7454)  3 Fe 2.52, 3 Sb 2.79
Sb (0.5056, 0.5056, 0.5056)  3 Fe 2.68, 3 Tc 2.79, 6 Sb 2.93

Computed properties:
Size of the total moment = 4.49 μB per formula unit
Raw total energy = -7.957 eV per atom
Space-group type = R3m, No. 160



11.
Material: VB
Method: DFT, PBEsol
State: relaxed

Cell: 4.2571 4.2571 2.9460 Å, 90.00 90.00 138.58°
With the nearest neighbours (Å) after each atom.
Element x y z (fractional)
V (0.1476, 0.8524, 0.7500)  7 B 2.21-2.31
V (0.8524, 0.1476, 0.2500)  7 B 2.21-2.31
B (0.4371, 0.5629, 0.7500)  2 B 1.78
B (0.5629, 0.4371, 0.2500)  2 B 1.78

Computed properties:
Size of the total moment = 0.00 μB per formula unit
Raw total energy = -9.240 eV per atom
Space-group type = Cmcm, No. 63



12.
Material: Cd2PtWSe
Method: DFT, PBEsol
State: relaxed

Cell: 5.0361 5.0361 4.8472 Å, 90.00 90.00 90.00°
With the nearest neighbours (Å) after each atom.
Element x y z (fractional)
Cd (0.0000, 0.5000, 0.0000)  2 Pt 2.52
Cd (0.5000, 0.0000, 0.0000)  2 Pt 2.52
Pt (0.0000, 0.0000, 0.0000)  2 W 2.42, 4 Cd 2.52
W (0.0000, 0.0000, 0.5000)  2 Pt 2.42
Se (0.5000, 0.5000, 0.5000)  8 Cd 3.49, 4 W 3.56

Computed properties:
Size of the total moment = 1.99 μB per formula unit
Raw total energy = -4.478 eV per atom
Space-group type = P4/mmm, No. 123